Here is a relaxed structure of TbThCdCu from Alexandria. Energies are from PBE.

Output
D(E_F)	4.64	states/eV/f.u.
space-group type	F-43m
electronic total energy	-4.34	eV/atom
crystal system	cubic
ΔH_f (0 K)	-0.080	eV/atom

CIF file:
```
data_TbThCdCu
_chemical_formula_sum 'Tb1 Th1 Cd1 Cu1'
_cell_length_a 5.213
_cell_length_b 5.213
_cell_length_c 5.213
_cell_angle_alpha 60.00
_cell_angle_beta 60.00
_cell_angle_gamma 60.00
_space_group_name_H-M_alt 'P 1'
_space_group_IT_number 1
loop_
_space_group_symop_operation_xyz
'x,y,z'
loop_
_atom_site_label
_atom_site_fract_x
_atom_site_fract_y
_atom_site_fract_z
Tb1 0.000 0.000 0.000
Th1 0.500 0.500 0.500
Cd1 0.250 0.250 0.250
Cu1 0.750 0.750 0.750
```

***

Here is a relaxed structure of NdSm2Dy4 from Alexandria. Energies are from PBE.

Output
D(E_F)	11.30	states/eV/f.u.
space-group type	P2_1/m
electronic total energy	-4.54	eV/atom
energy relative to the lowest polymorph listed for this composition	82.9	meV per atom
crystal system	monoclinic
ΔH_f (0 K)	0.123	eV/atom

CIF file:
```
data_NdSm2Dy4
_chemical_formula_sum 'Nd2 Sm4 Dy8'
_cell_length_a 6.112
_cell_length_b 6.621
_cell_length_c 11.665
_cell_angle_alpha 90.00
_cell_angle_beta 104.26
_cell_angle_gamma 90.00
_space_group_name_H-M_alt 'P 1'
_space_group_IT_number 1
loop_
_space_group_symop_operation_xyz
'x,y,z'
loop_
_atom_site_label
_atom_site_fract_x
_atom_site_fract_y
_atom_site_fract_z
Nd1 0.034 0.250 0.362
Nd2 0.966 0.750 0.638
Sm1 0.156 0.250 0.950
Sm2 0.399 0.750 0.510
Sm3 0.601 0.250 0.490
Sm4 0.844 0.750 0.050
Dy1 0.146 0.250 0.665
Dy2 0.283 0.750 0.923
Dy3 0.345 0.508 0.211
Dy4 0.345 0.992 0.211
Dy5 0.655 0.008 0.789
Dy6 0.655 0.492 0.789
Dy7 0.717 0.250 0.077
Dy8 0.854 0.750 0.335
```

***

Here is a relaxed structure of HgSbAsO6 from Alexandria. Energies are from PBE.

Output
space-group type	P312
electronic total energy	-5.38	eV/atom
crystal system	trigonal

CIF file:
```
data_HgSbAsO6
_chemical_formula_sum 'Hg1 Sb1 As1 O6'
_cell_length_a 5.165
_cell_length_b 5.165
_cell_length_c 5.049
_cell_angle_alpha 90.00
_cell_angle_beta 90.00
_cell_angle_gamma 120.00
_space_group_name_H-M_alt 'P 1'
_space_group_IT_number 1
loop_
_space_group_symop_operation_xyz
'x,y,z'
loop_
_atom_site_label
_atom_site_fract_x
_atom_site_fract_y
_atom_site_fract_z
Hg1 0.000 0.000 0.000
Sb1 0.333 0.667 0.500
As1 0.667 0.333 0.500
O1 0.385 0.019 0.712
O2 0.385 0.366 0.288
O3 0.634 0.019 0.288
O4 0.634 0.615 0.712
O5 0.981 0.366 0.712
O6 0.981 0.615 0.288
```